Entry 1:
{"formula": "HfNbHRu2", "functional": "PBE", "state": "relaxed", "total_magnetization_mub_per_atom": 0.000, "n_ef_per_ev_cell": 5.55, "polymorph_energy_mev_per_atom": 37.2, "final_energy_ev_per_cell": -42.77, "lattice": [[-1.823, -3.260, 1.909], [2.734, 0.324, 3.164], [-2.423, 2.435, 1.845]], "species": ["Ru", "Ru", "Nb", "Hf", "H"], "fractional_positions": [[0.000, 0.500, 0.000], [0.500, 0.000, 0.000], [0.500, 0.500, 0.500], [0.000, 0.000, 0.500], [0.000, 0.000, 0.000]]}

---

Entry 2:
{"formula": "PmPr3As4", "functional": "PBE", "state": "relaxed", "total_magnetization_mub_per_atom": 0.000, "n_ef_per_ev_cell": 0.75, "final_energy_ev_per_cell": -49.76, "lattice": [[-1.172, 5.940, -0.381], [-5.368, -1.223, -2.549], [-2.572, -0.155, 5.492]], "species": ["Pr", "Pr", "Pr", "As", "As", "As", "As", "Pm"], "fractional_positions": [[0.000, 0.500, 0.500], [0.500, 0.000, 0.500], [0.500, 0.500, 0.000], [0.500, 0.000, 0.000], [0.000, 0.500, 0.000], [0.000, 0.000, 0.500], [0.500, 0.500, 0.500], [0.000, 0.000, 0.000]]}

---

Entry 3:
{"formula": "AgF3", "functional": "PBE", "state": "relaxed", "formation_energy_uncorrected_mev_per_atom": -537, "total_magnetization_mub_per_atom": 0.000, "n_ef_per_ev_cell": 1.01, "polymorph_energy_mev_per_atom": 471.9, "final_energy_ev_per_cell": -10.61, "lattice": [[-2.108, 5.743, 1.605], [1.343, 5.710, 2.366], [0.272, 6.246, -0.959]], "species": ["Ag", "F", "F", "F"], "fractional_positions": [[0.500, 0.500, 0.500], [0.000, 0.000, 0.000], [0.898, 0.898, 0.898], [0.102, 0.102, 0.102]]}